No. 1
Entry from Alexandria via LeMat-Bulk: an optimized crystal structure of NdAl2Ni2 (PBE).

Results
Its space-group type is I4/mmm. The energy relative to the elements is -0.545 eV per atom. The electronic total energy is -5.3079 eV/atom. The excess energy over the best structure of this formula in the dataset is 0 meV/atom.

```
NdAl2Ni2
1.0
-3.707 -1.936 0.025
0.545 -1.094 -3.999
5.980 -6.870 4.881
Nd Al Ni
2 4 4
Direct
0.628 0.628 0.256 Nd
0.372 0.372 0.744 Nd
0.000 0.500 0.000 Al
0.189 0.189 0.377 Al
0.500 0.000 0.000 Al
0.811 0.811 0.623 Al
0.750 0.250 0.500 Ni
0.934 0.934 0.869 Ni
0.066 0.066 0.131 Ni
0.250 0.750 0.500 Ni
```

=====

No. 2
Entry from Alexandria via LeMat-Bulk: an optimized crystal structure of Nd8AlNi2 (PBE).

Results
Its space-group type is Cm. The energy relative to the elements is -0.075 eV per atom. The electronic total energy is -4.9335 eV/atom.

```
Nd8AlNi2
1.0
-2.245 -3.785 3.070
6.788 -4.088 -1.985
1.112 5.614 5.829
Nd Al Ni
8 1 2
Direct
0.569 0.324 0.075 Nd
0.569 0.075 0.324 Nd
0.189 0.387 0.387 Nd
0.000 0.252 0.756 Nd
0.000 0.756 0.252 Nd
0.811 0.619 0.619 Nd
0.432 0.932 0.682 Nd
0.432 0.682 0.932 Nd
0.000 0.003 0.003 Al
0.499 0.691 0.313 Ni
0.499 0.313 0.691 Ni
```

=====

No. 3
Entry from Alexandria via LeMat-Bulk: an optimized crystal structure of NdAl2Ni (PBE).

Results
Its space-group type is Pnma. The energy relative to the elements is -0.557 eV per atom. The electronic total energy is -5.0657 eV/atom.

```
NdAl2Ni
1.0
5.789 0.000 0.000
0.000 6.887 0.000
0.000 0.000 15.291
Nd Al Ni
8 16 8
Direct
0.483 0.250 0.135 Nd
0.983 0.750 0.365 Nd
0.517 0.750 0.865 Nd
0.017 0.250 0.635 Nd
0.792 0.250 0.397 Nd
0.292 0.750 0.103 Nd
0.208 0.750 0.603 Nd
0.708 0.250 0.897 Nd
0.985 0.055 0.210 Al
0.485 0.945 0.290 Al
0.015 0.555 0.790 Al
0.515 0.445 0.710 Al
0.015 0.945 0.790 Al
0.515 0.055 0.710 Al
0.985 0.445 0.210 Al
0.485 0.555 0.290 Al
0.806 0.560 0.046 Al
0.306 0.440 0.454 Al
0.194 0.060 0.954 Al
0.694 0.940 0.546 Al
0.194 0.440 0.954 Al
0.694 0.560 0.546 Al
0.806 0.940 0.046 Al
0.306 0.060 0.454 Al
0.256 0.250 0.313 Ni
0.756 0.750 0.187 Ni
0.744 0.750 0.687 Ni
0.244 0.250 0.813 Ni
0.998 0.250 0.072 Ni
0.498 0.750 0.428 Ni
0.002 0.750 0.928 Ni
0.502 0.250 0.572 Ni
```

=====

No. 4
Entry from Alexandria via LeMat-Bulk: an optimized crystal structure of Nd3Al3Ni2 (PBE).

Results
Its space-group type is Pnma. The energy relative to the elements is -0.426 eV per atom. The electronic total energy is -5.0630 eV/atom.

```
Nd3Al3Ni2
1.0
-5.202 1.082 -1.688
-1.627 -7.930 -0.068
-4.558 0.810 14.568
Nd Al Ni
12 12 8
Direct
0.104 0.463 0.389 Nd
0.604 0.037 0.611 Nd
0.896 0.537 0.889 Nd
0.396 0.963 0.111 Nd
0.896 0.537 0.611 Nd
0.396 0.963 0.389 Nd
0.104 0.463 0.111 Nd
0.604 0.037 0.889 Nd
0.595 0.315 0.250 Nd
0.095 0.185 0.750 Nd
0.405 0.685 0.750 Nd
0.905 0.815 0.250 Nd
0.080 0.166 0.250 Al
0.580 0.334 0.750 Al
0.920 0.834 0.750 Al
0.420 0.666 0.250 Al
0.602 0.328 0.466 Al
0.102 0.172 0.534 Al
0.398 0.672 0.966 Al
0.898 0.828 0.034 Al
0.398 0.672 0.534 Al
0.898 0.828 0.466 Al
0.602 0.328 0.034 Al
0.102 0.172 0.966 Al
0.871 0.113 0.396 Ni
0.371 0.387 0.604 Ni
0.129 0.887 0.896 Ni
0.629 0.613 0.104 Ni
0.129 0.887 0.604 Ni
0.629 0.613 0.396 Ni
0.871 0.113 0.104 Ni
0.371 0.387 0.896 Ni
```

=====

No. 5
Entry from Alexandria via LeMat-Bulk: an optimized crystal structure of NdAl7Ni5 (PBE).

Results
Its space-group type is Imm2. The energy relative to the elements is -0.566 eV per atom. The electronic total energy is -5.1711 eV/atom.

```
NdAl7Ni5
1.0
-0.941 -1.267 4.757
5.420 -2.071 3.161
0.580 5.131 4.122
Nd Al Ni
1 7 5
Direct
0.005 0.995 0.995 Nd
0.654 0.346 0.346 Al
0.344 0.656 0.656 Al
0.984 0.363 0.670 Al
0.984 0.670 0.363 Al
0.272 0.228 0.228 Al
0.511 0.779 0.200 Al
0.511 0.200 0.779 Al
0.499 0.008 0.490 Ni
0.003 0.008 0.490 Ni
0.499 0.490 0.008 Ni
0.003 0.490 0.008 Ni
0.733 0.767 0.767 Ni
```

=====

No. 6
Entry from Alexandria via LeMat-Bulk: an optimized crystal structure of NdAlNi3 (PBE).

Results
Its space-group type is Cmmm. The energy relative to the elements is -0.040 eV per atom. The electronic total energy is -5.2108 eV/atom.

```
NdAlNi3
1.0
-3.585 0.832 2.527
-4.214 -2.566 -5.133
0.385 -5.039 2.203
Nd Al Ni
2 2 6
Direct
0.500 0.000 0.000 Nd
0.500 0.500 0.500 Nd
0.000 0.500 0.000 Al
0.000 0.000 0.500 Al
0.500 0.500 0.000 Ni
0.500 0.000 0.500 Ni
0.000 0.750 0.250 Ni
0.000 0.250 0.250 Ni
0.000 0.250 0.750 Ni
0.000 0.750 0.750 Ni
```

=====

No. 7
Entry from Alexandria via LeMat-Bulk: an optimized crystal structure of NdAl2Ni (PBE).

Results
Its space-group type is P2_1/m. The energy relative to the elements is -0.590 eV per atom. The electronic total energy is -5.0984 eV/atom.

```
NdAl2Ni
1.0
-3.114 0.599 2.562
-0.420 -5.193 -2.569
3.683 -2.840 5.140
Ni Nd Al
2 2 4
Direct
0.218 0.437 0.250 Ni
0.782 0.563 0.750 Ni
0.947 0.890 0.250 Nd
0.053 0.110 0.750 Nd
0.332 0.663 0.943 Al
0.668 0.337 0.057 Al
0.668 0.337 0.443 Al
0.332 0.663 0.557 Al
```

=====

No. 8
Entry from Alexandria via LeMat-Bulk: an optimized crystal structure of NdAl2Ni (PBE).

Results
Its space-group type is P4/mmm. The energy relative to the elements is -0.391 eV per atom. The electronic total energy is -4.8996 eV/atom.

```
NdAl2Ni
1.0
3.112 0.000 0.000
0.000 3.112 0.000
0.000 0.000 7.457
Ni Nd Al
1 1 2
Direct
0.500 0.500 0.000 Ni
0.500 0.500 0.500 Nd
0.000 0.000 0.819 Al
0.000 0.000 0.181 Al
```

=====

No. 9
Entry from Alexandria via LeMat-Bulk: an optimized crystal structure of NdAl6Ni3 (PBE).

Results
Its space-group type is P2_1/m. The energy relative to the elements is -0.469 eV per atom. The electronic total energy is -4.9259 eV/atom.

```
NdAl6Ni3
1.0
-1.313 -0.826 -3.742
4.013 -6.375 -0.002
-7.221 -6.666 4.006
Nd Al Ni
2 12 6
Direct
0.750 0.051 0.765 Nd
0.250 0.949 0.235 Nd
0.750 0.397 0.537 Al
0.250 0.603 0.463 Al
0.750 0.747 0.028 Al
0.250 0.253 0.972 Al
0.750 0.332 0.137 Al
0.250 0.668 0.863 Al
0.750 0.610 0.273 Al
0.250 0.390 0.727 Al
0.750 0.101 0.430 Al
0.250 0.899 0.570 Al
0.750 0.657 0.687 Al
0.250 0.343 0.313 Al
0.750 0.449 0.887 Ni
0.250 0.551 0.113 Ni
0.750 0.769 0.463 Ni
0.250 0.231 0.537 Ni
0.750 0.083 0.029 Ni
0.250 0.917 0.971 Ni
```

=====

No. 10
Entry from Alexandria via LeMat-Bulk: an optimized crystal structure of NdAlNi4 (PBE).

Results
Its space-group type is Cmmm. The energy relative to the elements is -0.467 eV per atom. The electronic total energy is -5.7395 eV/atom.

```
NdAlNi4
1.0
4.972 0.003 0.000
-2.334 4.391 0.000
0.000 0.000 4.041
Nd Al Ni
1 1 4
Direct
0.500 0.500 0.000 Nd
0.000 0.000 0.500 Al
0.167 0.833 0.000 Ni
0.833 0.167 0.000 Ni
0.000 0.500 0.500 Ni
0.500 0.000 0.500 Ni
```